AsBr2 | GGA-PBE | optimized geometry

Uncorrected formation energy, meV per atom: -125
Magnetic moment, μB/atom: 0.00

abc: 4.098 4.702 6.367
angles: 93.92 90.00 115.84
Sites, in units of the cell vectors:
As1 0.082 0.000 0.000
Br1 0.610 0.303 0.228
Br2 0.307 0.697 0.772